# CaSmI, optimized geometry, DFT PBE
# Formation energy (no corrections) ... -0.541 eV/atom
# DOS(E_F) ... 1.000 states/eV per atom
data_CaSmI
_chemical_formula_sum 'Ca2 Sm2 I2'
_symmetry_space_group_name_H-M 'P -6 m 2'
_symmetry_Int_Tables_number 187
_symmetry_space_group_name_Hall 'P -6 2'
_cell_length_a 3.9286
_cell_length_b 3.9286
_cell_length_c 15.4998
_cell_angle_alpha 90.00
_cell_angle_beta 90.00
_cell_angle_gamma 120.00
loop_
_atom_site_label
_atom_site_fract_x
_atom_site_fract_y
_atom_site_fract_z
Ca1 0.0000 0.0000 0.0000
Ca2 0.3333 0.6667 0.5000
Sm1 0.3333 0.6667 0.1942
I1 0.0000 0.0000 0.3489